Below is a relaxed AlGe3Mo crystal, with properties calculated at the GGA-PBEsol level.

Output
theoretical density = 4.987 g/cm³
formation energy = 2.5 eV/f.u.
calculated volume = 113 Å³ per cell
size of the total moment = 0.00 μB/cell

Lattice parameters (Å, degrees): 4.841 4.841 4.841 90.00 90.00 90.00
Positions (direct):
Al (0.000, 0.000, 0.000)
Ge (0.000, 0.500, 0.500)
Ge (0.500, 0.000, 0.500)
Ge (0.500, 0.500, 0.000)
Mo (0.500, 0.500, 0.500)

Below is a relaxed AlGe2N crystal, with properties calculated at the GGA-PBEsol level.

Output
theoretical density = 5.257 g/cm³
formation energy without anion corrections = 0.9892 eV/atom
calculated volume = 59 Å³ per cell
size of the total moment = 0.00 μB/cell

Lattice parameters (Å, degrees): 4.366 4.366 4.366 60.00 60.00 60.00
Positions (direct):
Al (0.000, 0.000, 0.000)
Ge (0.250, 0.250, 0.250)
Ge (0.750, 0.750, 0.750)
N (0.500, 0.500, 0.500)

Below is a relaxed AlGeTe2N crystal, with properties calculated at the GGA-PBEsol level.

Output
theoretical density = 5.661 g/cm³
formation energy without anion corrections = 0.2550 eV/atom
calculated volume = 108 Å³ per cell
size of the total moment = 0.00 μB/cell

Lattice parameters (Å, degrees): 5.610 5.610 3.437 90.00 90.00 90.00
Positions (direct):
Al (0.000, 0.000, 0.000)
Ge (0.500, 0.500, 0.500)
Te (0.000, 0.500, 0.000)
Te (0.500, 0.000, 0.000)
N (0.000, 0.000, 0.500)

Below is a relaxed NaAlGe crystal, with properties calculated at the GGA-PBEsol level.

Output
theoretical density = 3.241 g/cm³
formation energy = -0.6 eV/f.u.
calculated volume = 126 Å³ per cell
size of the total moment = 0.00 μB/cell

Lattice parameters (Å, degrees): 4.140 4.140 7.331 90.00 90.00 90.00
Positions (direct):
Na (0.250, 0.250, 0.139)
Na (0.750, 0.750, 0.861)
Al (0.250, 0.750, 0.500)
Al (0.750, 0.250, 0.500)
Ge (0.250, 0.250, 0.716)
Ge (0.750, 0.750, 0.284)

Below is a relaxed Nb12Al3Ge crystal, with properties calculated at the GGA-PBEsol level.

Output
theoretical density = 7.702 g/cm³
formation energy = -3.4 eV/f.u.
calculated volume = 273 Å³ per cell
size of the total moment = 0.00 μB/cell

Lattice parameters (Å, degrees): 5.150 5.151 10.310 90.00 90.00 90.00
Positions (direct):
Nb (0.000, 0.000, 0.125)
Nb (0.000, 0.000, 0.375)
Nb (0.000, 0.000, 0.625)
Nb (0.000, 0.000, 0.875)
Nb (0.249, 0.500, 0.248)
Nb (0.249, 0.500, 0.752)
Nb (0.500, 0.249, 0.000)
Nb (0.500, 0.251, 0.500)
Nb (0.500, 0.749, 0.500)
Nb (0.500, 0.751, 0.000)
Nb (0.751, 0.500, 0.248)
Nb (0.751, 0.500, 0.752)
Al (0.000, 0.500, 0.500)
Al (0.500, 0.000, 0.250)
Al (0.500, 0.000, 0.750)
Ge (0.000, 0.500, 0.000)

Below is a relaxed NbAlGeTe2 crystal, with properties calculated at the GGA-PBEsol level.

Output
theoretical density = 5.588 g/cm³
formation energy without anion corrections = 1.0227 eV/atom
calculated volume = 133 Å³ per cell
size of the total moment = 2.25 μB/cell

Lattice parameters (Å, degrees): 5.205 5.205 4.910 90.00 90.00 90.00
Positions (direct):
Nb (0.000, 0.000, 0.000)
Al (0.000, 0.000, 0.500)
Ge (0.500, 0.500, 0.000)
Te (0.000, 0.500, 0.500)
Te (0.500, 0.000, 0.500)